1.
Density functional theory data (GGA-PBE) for an optimized crystal structure of RbNaAlAg2.

```
5
Lattice="5.9693 0.0000 0.0000 0.0000 5.9693 0.0000 0.0000 0.0000 5.8923" Properties=species:S:1:pos:R:3 pbc="T T T"
Na 0.0000 0.0000 2.9461
Ag 2.9846 0.0000 0.0000
Ag 0.0000 2.9846 0.0000
Al 2.9846 2.9846 2.9461
Rb 0.0000 0.0000 0.0000
```

Results
ΔH_f (0 K)	1.070	eV/atom
magnetic moment	0.0	μB per cell
symmetry	P4/mmm (123)

2.
Density functional theory data (GGA-PBE) for an optimized crystal structure of SrTl2W.

```
4
Lattice="10.6045 0.0053 0.0031 10.0872 3.2719 0.0031 10.0872 1.5976 2.8553" Properties=species:S:1:pos:R:3 pbc="T T T"
Tl 15.6531 2.4791 1.4553
Tl 30.5152 4.8330 2.8370
Sr 23.0841 3.6561 2.1461
W 7.6947 1.2187 0.7154
```

Results
ΔE to the lowest computed polymorph	0.1504	eV/atom
ΔH_f (0 K)	0.758	eV/atom
magnetic moment	0.7	μB per cell
symmetry	R-3m (166)

3.
Density functional theory data (GGA-PBE) for an optimized crystal structure of Y6Co2Sn.

```
18
Lattice="8.4094 0.0113 0.0376 -2.5135 8.0250 -0.0376 -2.8386 -4.0984 6.7723" Properties=species:S:1:pos:R:3 pbc="T T T"
Y 2.8168 0.0978 4.6643
Y 5.8702 1.8742 0.7026
Y 0.5135 2.8832 5.3657
Y 0.2405 3.8402 2.1080
Y 3.5567 3.5715 3.6138
Y -2.5961 -1.3553 5.3657
Y 5.6534 5.2932 1.4066
Y 0.7523 -2.7163 4.6643
Y -0.4994 0.3664 3.1586
Y 2.5438 1.0547 1.4066
Y 2.3050 6.6542 2.1080
Y -2.8129 2.0637 6.0697
Co 3.6662 -2.6898 4.4818
Co 5.0697 1.0701 3.4050
Co -2.0124 2.8678 3.3674
Co 1.9045 -1.3973 2.3282
Sn 2.9480 4.0181 0.0000
Sn 0.0000 0.0000 0.0000
```

Results
ΔH_f (0 K)	-0.341	eV/atom
magnetic moment	0.0	μB per cell
symmetry	Immm (71)

4.
Density functional theory data (GGA-PBE) for an optimized crystal structure of TlRe4S8.

```
13
Lattice="-1.0027 -0.4447 -3.0289 -3.3483 -8.0233 0.5734 -8.4180 2.2700 0.7405" Properties=species:S:1:pos:R:3 pbc="T T T"
Re -2.7961 -3.9644 -0.2053
Re -5.4817 -0.7712 -1.4981
Re -9.4578 -2.4252 -1.6520
Re -6.7723 -5.6182 -0.3592
S -5.4224 1.2877 -0.1070
S -2.3584 -2.7760 -2.2378
S -7.6488 -1.1134 -0.7304
S -4.5491 -2.1770 0.1126
S -9.8955 -3.6137 0.3805
S -6.8315 -7.6772 -1.7503
S -7.7049 -4.2125 -1.9699
S -4.6051 -5.2762 -1.1269
Tl -8.6641 1.9519 -0.8444
```

Results
magnetic moment	0.0	μB per cell
symmetry	C2/m (12)
final energy	-6.834	eV per atom

5.
Density functional theory data (GGA-PBE) for an optimized crystal structure of K3Ca2PdO6.

```
12
Lattice="-1.3879 -2.4856 5.1397 1.3751 -3.3700 -4.6122 5.9037 2.1004 1.4822" Properties=species:S:1:pos:R:3 pbc="T T T"
K 2.9455 -1.8776 1.0048
K 2.0234 -1.5824 4.2590
K 3.8675 -2.1727 -2.2494
Pd 0.0000 0.0000 0.0000
O 4.7942 0.3436 1.3272
O 1.5144 -0.9695 -1.0519
O 5.1933 -3.0470 0.1788
O 4.3765 -2.7856 3.0616
O 1.0968 -4.0987 0.6825
O 0.6976 -0.7081 1.8308
Ca 0.4539 -3.0751 -1.3609
Ca -0.4667 -2.7804 1.8884
```

Results
magnetic moment	1.1	μB per cell
symmetry	C2/m (12)
final energy	-5.126	eV per atom

6.
Density functional theory data (GGA-PBE) for an optimized crystal structure of DyIn2Ag9.

```
12
Lattice="5.5811 0.0000 0.0000 2.7906 4.8334 0.0000 2.7906 1.6111 9.1814" Properties=species:S:1:pos:R:3 pbc="T T T"
Ag 4.1704 2.4078 2.3327
Ag 6.9918 4.0367 6.8487
Ag 4.1704 4.0367 6.8487
Ag 5.5811 3.2223 9.1741
Ag 6.9919 2.4078 2.3327
Ag 5.5811 3.2223 4.5907
Ag 5.5811 4.8512 2.3327
Ag 5.5811 1.5933 6.8487
Ag 5.5811 3.2223 0.0073
Dy 0.0000 0.0000 0.0000
In 8.3717 4.8334 3.8871
In 2.7906 1.6111 5.2943
```

Results
ΔH_f (0 K)	-0.035	eV/atom
magnetic moment	0.0	μB per cell
symmetry	R-3m (166)

Number 3 is which compound?
Y6Co2Sn